VASP calculation (PBE-GGA) on a geometry-optimized Tb4Pr5In4 structure.

energy of formation from the pure elements = -0.31 eV/atom
crystal system = tetragonal
total magnetic moment = 0.00 Bohr magnetons per cell
N(E_F) = 31.70 states/eV per cell

a = 12.6231 Å, b = 12.6231 Å, c = 5.1404 Å
α = 90.00°, β = 90.00°, γ = 90.00°
Last column: nearest neighbours and their distance in Å.
Space group I4/m (No. 87)
Asymmetric unit:
Tb  0.0941  0.6060  0.0000  3 In 3.17-3.33
Pr  0.0000  0.0000  0.0000  4 In 3.27
Pr  0.0998  0.8074  0.5000  5 In 3.30-3.66, 2 Tb 3.62
In  0.1021  0.2378  0.0000  3 Tb 3.17-3.33, 4 Pr 3.27-3.31